1.
## Sm12Co3Ag5 (GGA-PBE)

Data for Sm12Co3Ag5 after structural relaxation.

The calculation puts the density at 6.79 g cm⁻³. Its calculated volume is 4933.8 Å³ per cell. As for the crystal system: cubic.

The structure belongs to space group Ia-3d (No. 230); the cell edges are 17.024, 17.024 and 17.024 Å and the angles 90.00°, 90.00° and 90.00°. Symmetry generates all atoms from Sm at (0.019, 0.084, 0.650), Co at (0.000, 0.250, 0.125), Ag at (0.000, 0.000, 0.000) and Ag at (0.000, 0.250, 0.375).

2.
## Sm5Co2Ag (GGA-PBE)

Data for Sm5Co2Ag after structural relaxation.

The calculation puts the density at 8.07 g cm⁻³. Its calculated volume is 804.2 Å³ per cell. As for the crystal system: tetragonal.

The structure belongs to space group I4/mcm (No. 140); the cell edges are 7.731, 7.731 and 13.455 Å and the angles 90.00°, 90.00° and 90.00°. Symmetry generates all atoms from Sm at (0.000, 0.000, 0.000), Sm at (0.161, 0.339, 0.133), Co at (0.135, 0.365, 0.500) and Ag at (0.000, 0.000, 0.250).

So what do the calculations give for DFT formation energy? Going down the list: 0.315 -0.152 eV/atom.